A plane-wave DFT calculation with PBE was carried out for a geometry-optimized CsSrW3 structure.

Cell and atoms, written as extended XYZ:
```
5
Lattice="5.199 0.000 0.000 0.000 5.199 0.000 0.000 0.000 5.199" Properties=species:S:1:pos:R:3 pbc="T T T"
Cs 0.000 0.000 0.000
Sr 2.599 2.599 2.599
W 0.000 2.599 2.599
W 2.599 0.000 2.599
W 2.599 2.599 0.000
```

Results
As for the size of the total moment: 2.23 μB/f.u. Its offset from the most stable computed form is 0.436 eV/atom. As for the theoretical density: 9.125 g/cm3. The calculated formation energy comes out at 3.86 eV per atom.